## CsYPbO3 (PBE)

Data for an optimized crystal structure of CsYPbO3. Values from VASP.

Calculated values
Theoretical density   5.83 g/cm³
Calculated volume   22.65 Å³/atom
Space group   No. 11
DFT total energy   -77.624 eV per cell

The structure in Quantum ESPRESSO input format:
```
&SYSTEM
  ibrav = 0, nat = 12, ntyp = 4
/
ATOMIC_SPECIES
O 16.00 O.upf
Pb 207.20 Pb.upf
Y 88.91 Y.upf
Cs 132.91 Cs.upf
ATOMIC_POSITIONS crystal
O 0.750 0.198 0.669
O 0.750 0.761 0.002
O 0.750 0.506 0.167
O 0.250 0.239 0.998
O 0.250 0.494 0.833
O 0.250 0.802 0.331
Pb 0.250 0.084 0.775
Pb 0.750 0.916 0.225
Y 0.250 0.633 0.089
Y 0.750 0.367 0.911
Cs 0.250 0.312 0.380
Cs 0.750 0.688 0.620
CELL_PARAMETERS angstrom
3.575 0.000 0.000
0.000 9.969 2.105
0.000 -2.222 7.157
```

## Cs2YPbO4 (PBE)

Data for an optimized crystal structure of Cs2YPbO4. Values from VASP.

Calculated values
Theoretical density   4.34 g/cm³
Calculated volume   29.94 Å³/atom
Space group   No. 70
DFT total energy   -88.889 eV per cell

The structure in Quantum ESPRESSO input format:
```
&SYSTEM
  ibrav = 0, nat = 16, ntyp = 4
/
ATOMIC_SPECIES
O 16.00 O.upf
Y 88.91 Y.upf
Pb 207.20 Pb.upf
Cs 132.91 Cs.upf
ATOMIC_POSITIONS crystal
O 0.854 0.677 0.589
O 0.469 0.677 0.411
O 0.120 0.323 0.411
O 0.630 0.177 0.089
O 0.281 0.823 0.089
O 0.896 0.823 0.911
O 0.557 0.323 0.589
O 0.193 0.177 0.911
Y 0.750 0.500 0.500
Y 0.000 0.000 0.000
Pb 0.250 0.500 0.500
Pb 0.500 0.000 0.000
Cs 0.817 0.000 0.366
Cs 0.183 0.000 0.634
Cs 0.933 0.500 0.134
Cs 0.567 0.500 0.866
CELL_PARAMETERS angstrom
6.178 0.000 0.000
3.089 6.986 0.000
3.089 0.000 11.098
```

## Cs2ZnPbO4 (PBE)

Data for an optimized crystal structure of Cs2ZnPbO4. Values from VASP.

Calculated values
Theoretical density   5.91 g/cm³
Calculated volume   21.14 Å³/atom
Space group   No. 82
DFT total energy   -36.312 eV per cell

The structure in Quantum ESPRESSO input format:
```
&SYSTEM
  ibrav = 0, nat = 8, ntyp = 4
/
ATOMIC_SPECIES
O 16.00 O.upf
Pb 207.20 Pb.upf
Cs 132.91 Cs.upf
Zn 65.41 Zn.upf
ATOMIC_POSITIONS crystal
O 0.975 0.098 0.704
O 0.374 0.743 0.240
O 0.865 0.497 0.239
O 0.729 0.606 0.704
Pb 0.986 0.486 0.972
Cs 0.486 0.986 0.972
Cs 0.236 0.236 0.472
Zn 0.736 0.736 0.472
CELL_PARAMETERS angstrom
-3.700 3.791 -3.535
-5.155 -2.234 2.999
4.784 2.236 3.128
```

Which value of calculated volume does entry 2 give?
29.94 Å³/atom